Run one
DFT (PBE) results for an optimized crystal structure of Cd4Rh5.

Calculated values
SG ... P6_3/mcm, No. 193
Density of states at the Fermi level ... 20.924 states/eV/cell

abc: 7.9996 7.9996 5.4654
angles: 90.00 90.00 60.00
With the nearest neighbours (Å) after each atom.
Positions (direct):
Cd1 0.0000 0.0000 0.0000  2 Cd 2.73, 6 Rh 2.89
Rh1 0.3177 0.0000 0.7500  7 Cd 2.63-2.89
Cd2 0.3538 0.0000 0.2500  9 Rh 2.63-2.93
Cd3 0.6462 0.3538 0.2500  9 Rh 2.63-2.93
Cd4 0.0000 0.6462 0.2500  9 Rh 2.63-2.93
Cd5 0.0000 0.0000 0.5000  2 Cd 2.73, 6 Rh 2.89
Rh2 0.6823 0.0000 0.2500  7 Cd 2.63-2.89
Cd6 0.3538 0.6462 0.7500  9 Rh 2.63-2.93
Rh3 0.3177 0.6823 0.2500  7 Cd 2.63-2.89
Cd7 0.0000 0.3538 0.7500  9 Rh 2.63-2.93
Rh4 0.6667 0.6667 0.0000  8 Rh 2.73-3.05, 6 Cd 2.93
Cd8 0.6462 0.0000 0.7500  9 Rh 2.63-2.93
Rh5 0.6667 0.6667 0.5000  8 Rh 2.73-3.05, 6 Cd 2.93
Rh6 0.0000 0.3177 0.2500  7 Cd 2.63-2.89
Rh7 0.3333 0.3333 0.0000  8 Rh 2.73-3.05, 6 Cd 2.93
Rh8 0.6823 0.3177 0.7500  7 Cd 2.63-2.89
Rh9 0.0000 0.6823 0.7500  7 Cd 2.63-2.89
Rh10 0.3333 0.3333 0.5000  8 Rh 2.73-3.05, 6 Cd 2.93


Run two
DFT (PBE) results for an optimized crystal structure of Cd4Rh5.

Calculated values
SG ... I4/mmm, No. 139
Density of states at the Fermi level ... 14.196 states/eV/cell

abc: 6.3886 6.3886 6.3886
angles: 95.98 95.98 142.33
With the nearest neighbours (Å) after each atom.
Positions (direct):
Rh1 0.0000 0.0000 0.0000  4 Cd 2.73, 8 Rh 2.82
Rh2 0.3406 0.3406 0.6811  6 Rh 2.73-3.01, 6 Cd 2.83-2.92
Cd1 0.3194 0.0000 0.3194  7 Rh 2.73-2.92, 4 Cd 3.00
Cd2 0.0000 0.3194 0.3194  7 Rh 2.73-2.92, 4 Cd 3.00
Rh3 0.3406 0.6594 0.0000  6 Rh 2.73-3.01, 6 Cd 2.83-2.92
Rh4 0.6594 0.6594 0.3189  6 Rh 2.73-3.01, 6 Cd 2.83-2.92
Cd3 0.0000 0.6806 0.6806  7 Rh 2.73-2.92, 4 Cd 3.00
Rh5 0.6594 0.3406 0.0000  6 Rh 2.73-3.01, 6 Cd 2.83-2.92
Cd4 0.6806 0.0000 0.6806  7 Rh 2.73-2.92, 4 Cd 3.00


According to the calculations, the structures order from most to least stable as run two, run one.


Run one
DFT (PBE) results for an optimized crystal structure of CdRh3S.

Calculated values
SG ... Pm-3m, No. 221
Density of states at the Fermi level ... 3.686 states/eV/cell

abc: 4.3954 4.3954 4.3954
angles: 90.00 90.00 90.00
With the nearest neighbours (Å) after each atom.
Positions (direct):
Cd1 0.5000 0.5000 0.5000  12 Rh 3.11
S1 0.0000 0.0000 0.0000  6 Rh 2.20
Rh1 0.5000 0.0000 0.0000  2 S 2.20
Rh2 0.0000 0.5000 0.0000  2 S 2.20
Rh3 0.0000 0.0000 0.5000  2 S 2.20


Run two
DFT (PBE) results for an optimized crystal structure of CdRh3S.

Calculated values
SG ... Pm-3m, No. 221
Density of states at the Fermi level ... 14.460 states/eV/cell

abc: 4.9054 4.9054 4.9054
angles: 90.00 90.00 90.00
With the nearest neighbours (Å) after each atom.
Positions (direct):
S1 0.5000 0.5000 0.5000  12 Rh 3.47
Rh1 0.5000 0.0000 0.0000  2 Cd 2.45
Rh2 0.0000 0.0000 0.5000  2 Cd 2.45
Cd1 0.0000 0.0000 0.0000  6 Rh 2.45
Rh3 0.0000 0.5000 0.0000  2 Cd 2.45


According to the calculations, the structures order from most to least stable as run one, run two.


Run one
DFT (PBE) results for an optimized crystal structure of Cd3RhS.

Calculated values
SG ... Pm-3m, No. 221
Density of states at the Fermi level ... 4.096 states/eV/cell

abc: 5.1089 5.1089 5.1089
angles: 90.00 90.00 90.00
With the nearest neighbours (Å) after each atom.
Positions (direct):
Cd1 0.0000 0.0000 0.5000  2 Rh 2.55
Cd2 0.0000 0.5000 0.0000  2 Rh 2.55
S1 0.5000 0.5000 0.5000  12 Cd 3.61
Rh1 0.0000 0.0000 0.0000  6 Cd 2.55
Cd3 0.5000 0.0000 0.0000  2 Rh 2.55


Run two
DFT (PBE) results for an optimized crystal structure of Cd3RhS.

Calculated values
SG ... Pm-3m, No. 221
Density of states at the Fermi level ... 3.786 states/eV/cell

abc: 4.9517 4.9517 4.9517
angles: 90.00 90.00 90.00
With the nearest neighbours (Å) after each atom.
Positions (direct):
Cd1 0.0000 0.0000 0.5000  2 S 2.48
Rh1 0.5000 0.5000 0.5000  12 Cd 3.50
Cd2 0.0000 0.5000 0.0000  2 S 2.48
S1 0.0000 0.0000 0.0000  6 Cd 2.48
Cd3 0.5000 0.0000 0.0000  2 S 2.48


According to the calculations, the structures order from most to least stable as run one, run two.


Run one
DFT (PBE) results for an optimized crystal structure of ScCd2Rh2.

Calculated values
SG ... P4/mbm, No. 127
Density of states at the Fermi level ... 5.034 states/eV/cell

abc: 7.6073 7.6073 3.1690
angles: 90.00 90.00 90.00
With the nearest neighbours (Å) after each atom.
Positions (direct):
Rh1 0.8276 0.3276 0.5000  6 Cd 2.67-2.80
Rh2 0.6724 0.8276 0.5000  6 Cd 2.67-2.80
Cd1 0.6279 0.1279 0.0000  6 Rh 2.67-2.80, 1 Cd 2.75
Sc1 0.0000 0.0000 0.0000  4 Cd 2.99, 2 Sc 3.17, 8 Rh 3.23
Rh3 0.1724 0.6724 0.5000  6 Cd 2.67-2.80
Cd2 0.1279 0.3721 0.0000  6 Rh 2.67-2.80, 1 Cd 2.75
Rh4 0.3276 0.1724 0.5000  6 Cd 2.67-2.80
Cd3 0.8721 0.6279 0.0000  6 Rh 2.67-2.80, 1 Cd 2.75
Sc2 0.5000 0.5000 0.0000  4 Cd 2.99, 2 Sc 3.17, 8 Rh 3.23
Cd4 0.3721 0.8721 0.0000  6 Rh 2.67-2.80, 1 Cd 2.75


Run two
DFT (PBE) results for an optimized crystal structure of ScCd2Rh2.

Calculated values
SG ... P4/mbm, No. 127
Density of states at the Fermi level ... 6.191 states/eV/cell

abc: 6.7770 6.7770 4.0871
angles: 90.00 90.00 90.00
With the nearest neighbours (Å) after each atom.
Positions (direct):
Sc1 0.0000 0.0000 0.0000  4 Rh 2.62
Cd1 0.6608 0.8392 0.5000  6 Rh 2.80-2.89, 1 Cd 3.08
Cd2 0.3392 0.1608 0.5000  6 Rh 2.80-2.89, 1 Cd 3.08
Rh1 0.8606 0.6394 0.0000  2 Sc 2.62, 1 Rh 2.67, 6 Cd 2.80-2.89
Cd3 0.1608 0.6608 0.5000  6 Rh 2.80-2.89, 1 Cd 3.08
Rh2 0.3606 0.8606 0.0000  2 Sc 2.62, 1 Rh 2.67, 6 Cd 2.80-2.89
Rh3 0.6394 0.1394 0.0000  2 Sc 2.62, 1 Rh 2.67, 6 Cd 2.80-2.89
Cd4 0.8392 0.3392 0.5000  6 Rh 2.80-2.89, 1 Cd 3.08
Sc2 0.5000 0.5000 0.0000  4 Rh 2.62
Rh4 0.1394 0.3606 0.0000  2 Sc 2.62, 1 Rh 2.67, 6 Cd 2.80-2.89


According to the calculations, the structures order from most to least stable as run two, run one.


Run one
DFT (PBE) results for an optimized crystal structure of TmScCdRh.

Calculated values
SG ... P4mm, No. 99
Density of states at the Fermi level ... 2.457 states/eV/cell

abc: 3.3822 3.3822 7.3071
angles: 90.00 90.00 90.00
With the nearest neighbours (Å) after each atom.
Positions (direct):
Tm1 0.5000 0.5000 0.7876  4 Rh 2.93, 1 Sc 3.17, 4 Cd 3.25
Sc1 0.5000 0.5000 0.3537  4 Rh 2.81, 4 Cd 3.08
Cd1 0.0000 0.0000 0.0878  4 Sc 3.08, 4 Tm 3.25, 4 Cd 3.38, 1 Rh 3.42
Rh1 0.0000 0.0000 0.5556  4 Sc 2.81, 4 Tm 2.93


Run two
DFT (PBE) results for an optimized crystal structure of TmScCdRh.

Calculated values
SG ... F-43m, No. 216
Density of states at the Fermi level ... 2.446 states/eV/cell

abc: 4.8834 4.8834 4.8834
angles: 60.00 60.00 60.00
With the nearest neighbours (Å) after each atom.
Positions (direct):
Tm1 0.5000 0.5000 0.5000  4 Cd 2.99, 4 Rh 2.99
Cd1 0.7500 0.7500 0.7500  4 Tm 2.99, 4 Sc 2.99
Sc1 0.0000 0.0000 0.0000  4 Cd 2.99, 4 Rh 2.99
Rh1 0.2500 0.2500 0.2500  4 Sc 2.99, 4 Tm 2.99


According to the calculations, the structures order from most to least stable as run one, run two.


Run one
DFT (PBE) results for an optimized crystal structure of Sm2CdRh.

Calculated values
SG ... Fm-3m, No. 225
Density of states at the Fermi level ... 2.210 states/eV/cell

abc: 5.1608 5.1608 5.1608
angles: 60.00 60.00 60.00
With the nearest neighbours (Å) after each atom.
Positions (direct):
Sm1 0.7500 0.7500 0.7500  4 Cd 3.16, 4 Rh 3.16
Rh1 0.0000 0.0000 0.0000  8 Sm 3.16
Sm2 0.2500 0.2500 0.2500  4 Cd 3.16, 4 Rh 3.16
Cd1 0.5000 0.5000 0.5000  8 Sm 3.16


Run two
DFT (PBE) results for an optimized crystal structure of Sm2CdRh.

Calculated values
SG ... R3m, No. 160
Density of states at the Fermi level ... 2.237 states/eV/cell

abc: 4.0728 4.0728 8.2415
angles: 75.69 75.69 60.00
With the nearest neighbours (Å) after each atom.
Positions (direct):
Cd1 0.5007 0.5007 0.4979  6 Sm 3.35-3.37
Sm1 0.2683 0.2683 0.1951  3 Rh 2.80
Sm2 0.0654 0.0654 0.8038  3 Rh 2.83
Rh1 0.6656 0.6656 0.0032  6 Sm 2.80-2.83


According to the calculations, the structures order from most to least stable as run one, run two.